{
  "formula": "InNiMoO2",
  "functional": "PBE with a Hubbard U",
  "state": "optimized geometry",
  "e_tot_ev_per_atom": -3.822,
  "sg": "P4/mmm",
  "dos_at_fermi_per_ev_cell": 2.72,
  "cell": [[4.063, 0.000, 0.000], [0.000, 4.063, 0.000], [0.000, 0.000, 6.167]],
  "species": ["In", "Ni", "Mo", "O", "O"],
  "fractional_positions": [[0.000, 0.000, 0.000], [0.500, 0.500, 0.500], [0.000, 0.000, 0.500], [0.000, 0.500, 0.000], [0.500, 0.000, 0.000]]
}


{
  "formula": "InNi2MoO6",
  "functional": "PBE with a Hubbard U",
  "state": "optimized geometry",
  "e_tot_ev_per_atom": -5.497,
  "sg": "P4mm",
  "cell": [[5.384, 0.000, 0.000], [0.000, 5.384, 0.000], [0.000, 0.000, 5.027]],
  "species": ["In", "Ni", "Ni", "Mo", "O", "O", "O", "O", "O", "O"],
  "fractional_positions": [[0.000, 0.000, 0.000], [0.000, 0.500, 0.350], [0.500, 0.000, 0.350], [0.500, 0.500, 0.042], [0.000, 0.000, 0.606], [0.258, 0.258, 0.197], [0.258, 0.742, 0.197], [0.500, 0.500, 0.697], [0.742, 0.258, 0.197], [0.742, 0.742, 0.197]]
}